## PmPRh2N (PBE)

Data for a relaxed structure of PmPRh2N.

Values from the calculation:
- V: 85 Å³/cell
- Uncorrected energy: -35.73 eV/cell
- Formation energy without anion corrections: -507.9 meV/atom

Structure (CIF):
```
data_PmPRh2N
_cell_length_a 3.931
_cell_length_b 3.931
_cell_length_c 5.502
_cell_angle_alpha 90.00
_cell_angle_beta 90.00
_cell_angle_gamma 90.00
_symmetry_space_group_name_H-M 'P 4 m m'
_symmetry_Int_Tables_number 99
_symmetry_space_group_name_Hall 'P 4 -2'
loop_
_atom_site_label
_atom_site_fract_x
_atom_site_fract_y
_atom_site_fract_z
Pm1 0.000 0.000 0.000
P1 0.500 0.500 0.192
Rh1 0.000 0.500 0.477
N1 0.000 0.000 0.579
```